The following is a GGA-PBE calculation of a relaxed DyYTm3Th crystal, from the Alexandria database.

Computed properties:
E_form (eV/f.u.): 0.14
Volume (A^3/atom): 31.1
Spin magnetization (μB/f.u.): 0.0
Space group: P2_1/m, No. 11

Cell: 3.5408 10.5592 10.5588 Å, 109.16 90.00 90.00°
With the nearest neighbours (Å) after each atom.
Element x y z (fractional)
1 Tm 0.2500 0.6206 0.7930  3 Th 3.47-3.49, 7 Tm 3.51-3.55, 2 Y 3.56
2 Tm 0.7500 0.3794 0.2070  3 Th 3.47-3.49, 7 Tm 3.51-3.55, 2 Y 3.56
3 Tm 0.2500 0.1275 0.9594  2 Th 3.49, 3 Y 3.50-3.55, 1 Dy 3.53, 6 Tm 3.53-3.56
4 Tm 0.7500 0.8725 0.0406  2 Th 3.49, 3 Y 3.50-3.55, 1 Dy 3.53, 6 Tm 3.53-3.56
5 Tm 0.2500 0.6238 0.4575  2 Dy 3.50, 7 Tm 3.51-3.55, 1 Th 3.53, 2 Y 3.55
6 Tm 0.7500 0.3762 0.5425  2 Dy 3.50, 7 Tm 3.51-3.55, 1 Th 3.53, 2 Y 3.55
7 Dy 0.2500 0.1281 0.6253  3 Tm 3.50-3.53, 2 Th 3.52, 3 Y 3.52-3.56, 4 Dy 3.54-3.57
8 Dy 0.7500 0.8719 0.3747  3 Tm 3.50-3.53, 2 Th 3.52, 3 Y 3.52-3.56, 4 Dy 3.54-3.57
9 Th 0.2500 0.6253 0.1234  6 Tm 3.47-3.53, 4 Th 3.52-3.54, 2 Dy 3.52
10 Th 0.7500 0.3747 0.8766  6 Tm 3.47-3.53, 4 Th 3.52-3.54, 2 Dy 3.52
11 Y 0.2500 0.1257 0.2907  7 Tm 3.50-3.56, 3 Dy 3.52-3.56, 2 Y 3.54
12 Y 0.7500 0.8743 0.7093  7 Tm 3.50-3.56, 3 Dy 3.52-3.56, 2 Y 3.54

The following is a GGA-PBE calculation of a relaxed DyY6Tm3Th2 crystal, from the Alexandria database.

Computed properties:
E_form (eV/f.u.): 0.38
Volume (A^3/atom): 31.7
Spin magnetization (μB/f.u.): 0.0
Space group: C2/m, No. 12

Cell: 6.1587 6.1587 11.7621 Å, 95.01 95.01 119.95°
With the nearest neighbours (Å) after each atom.
Element x y z (fractional)
1 Dy 0.0000 0.0000 0.0000  6 Th 3.55-3.56, 6 Y 3.55-3.56
2 Y 0.4200 0.0836 0.2493  2 Th 3.54, 6 Y 3.54-3.59, 3 Tm 3.55-3.56, 1 Dy 3.55
3 Y 0.0836 0.4200 0.2493  2 Th 3.54, 6 Y 3.54-3.59, 3 Tm 3.55-3.56, 1 Dy 3.55
4 Y 0.7469 0.7469 0.2494  6 Y 3.54-3.59, 2 Th 3.54, 3 Tm 3.55-3.56, 1 Dy 3.56
5 Y 0.2531 0.2531 0.7506  6 Y 3.54-3.59, 2 Th 3.54, 3 Tm 3.55-3.56, 1 Dy 3.56
6 Y 0.9164 0.5800 0.7507  2 Th 3.54, 6 Y 3.54-3.59, 3 Tm 3.55-3.56, 1 Dy 3.55
7 Y 0.5800 0.9164 0.7507  2 Th 3.54, 6 Y 3.54-3.59, 3 Tm 3.55-3.56, 1 Dy 3.55
8 Tm 0.5000 0.5000 0.5000  6 Y 3.55-3.56, 6 Tm 3.56
9 Tm 0.1664 0.8336 0.5000  6 Y 3.55-3.56, 6 Tm 3.55-3.56
10 Tm 0.8336 0.1664 0.5000  6 Y 3.55-3.56, 6 Tm 3.55-3.56
11 Th 0.3333 0.6667 0.0000  6 Y 3.54, 3 Dy 3.55-3.56, 3 Th 3.56
12 Th 0.6667 0.3333 0.0000  6 Y 3.54, 3 Dy 3.55-3.56, 3 Th 3.56

The following is a GGA-PBE calculation of a relaxed Dy6YTm2Th crystal, from the Alexandria database.

Computed properties:
E_form (eV/f.u.): 1.48
Volume (A^3/atom): 31.9
Spin magnetization (μB/f.u.): 0.0
Space group: C2/c, No. 15

Cell: 9.3100 8.7664 8.7664 Å, 116.41 92.69 92.69°
With the nearest neighbours (Å) after each atom.
Element x y z (fractional)
1 Tm 0.0538 0.3042 0.2019  6 Dy 3.29-3.58, 2 Th 3.35-3.51, 1 Y 3.49
2 Tm 0.4462 0.7981 0.6958  6 Dy 3.29-3.58, 2 Th 3.35-3.51, 1 Y 3.49
3 Tm 0.9462 0.6958 0.7981  6 Dy 3.29-3.58, 2 Th 3.35-3.51, 1 Y 3.49
4 Tm 0.5538 0.2019 0.3042  6 Dy 3.29-3.58, 2 Th 3.35-3.51, 1 Y 3.49
5 Dy 0.3874 0.5192 0.2897  4 Dy 3.20-3.52, 3 Tm 3.29-3.42, 2 Y 3.43-3.44
6 Dy 0.0593 0.1168 0.7666  7 Dy 3.40-3.72, 1 Tm 3.42, 2 Th 3.61-3.64
7 Dy 0.1835 0.5667 0.0126  3 Dy 3.20-3.57, 1 Tm 3.38, 1 Th 3.43, 1 Y 3.44
8 Dy 0.6126 0.4808 0.7103  4 Dy 3.20-3.52, 3 Tm 3.29-3.42, 2 Y 3.43-3.44
9 Dy 0.5593 0.7666 0.1168  7 Dy 3.40-3.72, 1 Tm 3.42, 2 Th 3.61-3.64
10 Dy 0.4407 0.2334 0.8832  7 Dy 3.40-3.72, 1 Tm 3.42, 2 Th 3.61-3.64
11 Dy 0.3165 0.9874 0.4333  3 Dy 3.20-3.57, 1 Tm 3.38, 1 Th 3.43, 1 Y 3.44
12 Dy 0.8165 0.4333 0.9874  3 Dy 3.20-3.57, 1 Tm 3.38, 1 Th 3.43, 1 Y 3.44
13 Dy 0.6835 0.0126 0.5667  3 Dy 3.20-3.57, 1 Tm 3.38, 1 Th 3.43, 1 Y 3.44
14 Dy 0.1126 0.7103 0.4808  4 Dy 3.20-3.52, 3 Tm 3.29-3.42, 2 Y 3.43-3.44
15 Dy 0.9407 0.8832 0.2334  7 Dy 3.40-3.72, 1 Tm 3.42, 2 Th 3.61-3.64
16 Dy 0.8874 0.2897 0.5192  4 Dy 3.20-3.52, 3 Tm 3.29-3.42, 2 Y 3.43-3.44
17 Th 0.2500 0.9651 0.0349  4 Tm 3.35-3.51, 6 Dy 3.43-3.64
18 Th 0.7500 0.0349 0.9651  4 Tm 3.35-3.51, 6 Dy 3.43-3.64
19 Y 0.7500 0.5890 0.4110  6 Dy 3.43-3.44, 4 Tm 3.49-3.83
20 Y 0.2500 0.4110 0.5890  6 Dy 3.43-3.44, 4 Tm 3.49-3.83

The following is a GGA-PBE calculation of a relaxed DyTmThZn crystal, from the Alexandria database.

Computed properties:
E_form (eV/f.u.): -0.67
Volume (A^3/atom): 26.7
Spin magnetization (μB/f.u.): 0.0
Space group: P4mm, No. 99

Cell: 3.5426 3.5426 8.5240 Å, 90.00 90.00 90.00°
With the nearest neighbours (Å) after each atom.
Element x y z (fractional)
1 Tm 0.5000 0.5000 0.3619  4 Zn 3.05
2 Zn 0.0000 0.0000 0.5669  4 Tm 3.05, 4 Dy 3.10
3 Th 0.0000 0.0000 0.0742  4 Tm 3.51, 4 Dy 3.53, 4 Th 3.54
4 Dy 0.5000 0.5000 0.7817  4 Zn 3.10

The following is a GGA-PBE calculation of a relaxed Dy3Tm6Th2Zr crystal, from the Alexandria database.

Computed properties:
E_form (eV/f.u.): 0.48
Volume (A^3/atom): 30.0
Spin magnetization (μB/f.u.): 0.0
Space group: C2/m, No. 12

Cell: 6.0376 6.0376 11.5746 Å, 95.01 95.01 120.00°
With the nearest neighbours (Å) after each atom.
Element x y z (fractional)
1 Th 0.3334 0.6666 0.0000  6 Tm 3.44, 3 Th 3.48-3.49, 3 Zr 3.49
2 Th 0.6666 0.3334 0.0000  6 Tm 3.44, 3 Th 3.48-3.49, 3 Zr 3.49
3 Tm 0.5885 0.9184 0.7555  1 Zr 3.43, 2 Th 3.44, 6 Tm 3.45-3.50, 3 Dy 3.53-3.55
4 Tm 0.0816 0.4115 0.2445  1 Zr 3.43, 2 Th 3.44, 6 Tm 3.45-3.50, 3 Dy 3.53-3.55
5 Tm 0.4115 0.0816 0.2445  1 Zr 3.43, 2 Th 3.44, 6 Tm 3.45-3.50, 3 Dy 3.53-3.55
6 Tm 0.7514 0.7514 0.2446  1 Zr 3.43, 2 Th 3.44, 6 Tm 3.45-3.50, 3 Dy 3.53-3.55
7 Tm 0.2486 0.2486 0.7554  1 Zr 3.43, 2 Th 3.44, 6 Tm 3.45-3.50, 3 Dy 3.53-3.55
8 Tm 0.9184 0.5885 0.7555  1 Zr 3.43, 2 Th 3.44, 6 Tm 3.45-3.50, 3 Dy 3.53-3.55
9 Zr 0.0000 0.0000 0.0000  6 Tm 3.43, 6 Th 3.49
10 Dy 0.5000 0.5000 0.5000  6 Dy 3.48-3.49, 6 Tm 3.53-3.55
11 Dy 0.1660 0.8340 0.5000  6 Dy 3.47-3.49, 6 Tm 3.53-3.55
12 Dy 0.8340 0.1660 0.5000  6 Dy 3.47-3.49, 6 Tm 3.53-3.55

The following is a GGA-PBE calculation of a relaxed DyTmThZr crystal, from the Alexandria database.

Computed properties:
E_form (eV/f.u.): 0.63
Volume (A^3/atom): 28.8
Spin magnetization (μB/f.u.): 0.0
Space group: F-43m, No. 216

Cell: 5.4612 5.4612 5.4612 Å, 60.00 60.00 60.00°
With the nearest neighbours (Å) after each atom.
Element x y z (fractional)
1 Dy 0.0000 0.0000 0.0000  4 Zr 3.34, 4 Tm 3.34
2 Th 0.5000 0.5000 0.5000  4 Zr 3.34, 4 Tm 3.34
3 Tm 0.2500 0.2500 0.2500  4 Dy 3.34, 4 Th 3.34
4 Zr 0.7500 0.7500 0.7500  4 Th 3.34, 4 Dy 3.34

The following is a GGA-PBE calculation of a relaxed DyThU crystal, from the Alexandria database.

Computed properties:
E_form (eV/f.u.): 0.67
Volume (A^3/atom): 29.1
Spin magnetization (μB/f.u.): 0.0
Space group: C2/m, No. 12

Cell: 3.6050 5.7478 8.7243 Å, 98.94 101.92 90.00°
With the nearest neighbours (Å) after each atom.
Element x y z (fractional)
1 U 0.7621 0.1522 0.5241  2 U 2.50
2 U 0.2379 0.8478 0.4759  2 U 2.50
3 Th 0.8768 0.6994 0.7536  4 U 3.20-3.50, 4 Dy 3.51-3.56
4 Th 0.1232 0.3006 0.2464  4 U 3.20-3.50, 4 Dy 3.51-3.56
5 Dy 0.5646 0.7784 0.1292  3 U 3.43-3.70, 6 Th 3.51-3.64, 4 Dy 3.59-3.62
6 Dy 0.4354 0.2216 0.8708  3 U 3.43-3.70, 6 Th 3.51-3.64, 4 Dy 3.59-3.62

The following is a GGA-PBE calculation of a relaxed Dy2ThU crystal, from the Alexandria database.

Computed properties:
E_form (eV/f.u.): 1.84
Volume (A^3/atom): 29.7
Spin magnetization (μB/f.u.): 2.6
Space group: R-3m, No. 166

Cell: 3.3599 3.3599 12.3133 Å, 82.16 82.16 60.00°
With the nearest neighbours (Å) after each atom.
Element x y z (fractional)
1 Dy 0.0887 0.0887 0.7339  1 U 3.24, 6 Dy 3.36, 3 Th 3.44
2 Dy 0.9113 0.9113 0.2661  1 U 3.24, 6 Dy 3.36, 3 Th 3.44
3 Th 0.5000 0.5000 0.5000  6 Th 3.36, 6 Dy 3.44
4 U 0.0000 0.0000 0.0000  2 Dy 3.24, 6 U 3.36

The following is a GGA-PBE calculation of a relaxed DyThV4 crystal, from the Alexandria database.

Computed properties:
E_form (eV/f.u.): 1.28
Volume (A^3/atom): 18.4
Spin magnetization (μB/f.u.): 0.0
Space group: F-43m, No. 216

Cell: 5.3855 5.3855 5.3855 Å, 60.00 60.00 60.00°
With the nearest neighbours (Å) after each atom.
Element x y z (fractional)
1 V 0.6255 0.6255 0.6255  6 V 2.68-2.70
2 V 0.6255 0.1236 0.6255  6 V 2.68-2.70
3 V 0.1236 0.6255 0.6255  6 V 2.68-2.70
4 V 0.6255 0.6255 0.1236  6 V 2.68-2.70
5 Dy 0.0000 0.0000 0.0000  12 V 3.16, 4 Th 3.30
6 Th 0.2500 0.2500 0.2500  12 V 3.16, 4 Dy 3.30

The following is a GGA-PBE calculation of a relaxed Dy2ThV crystal, from the Alexandria database.

Computed properties:
E_form (eV/f.u.): 2.42
Volume (A^3/atom): 28.5
Spin magnetization (μB/f.u.): 2.9
Space group: R-3m, No. 166

Cell: 3.4033 3.4033 11.5232 Å, 81.51 81.51 60.00°
With the nearest neighbours (Å) after each atom.
Element x y z (fractional)
1 V 0.0000 0.0000 0.0000  2 Dy 2.81
2 Dy 0.0825 0.0825 0.7524  1 V 2.81
3 Dy 0.9175 0.9175 0.2476  1 V 2.81
4 Th 0.5000 0.5000 0.5000  6 Th 3.40, 6 Dy 3.48

The following is a GGA-PBE calculation of a relaxed DyThV crystal, from the Alexandria database.

Computed properties:
E_form (eV/f.u.): 0.88
Volume (A^3/atom): 26.2
Spin magnetization (μB/f.u.): 0.9
Space group: C2/m, No. 12

Cell: 3.6451 5.2822 9.6412 Å, 119.85 100.90 90.01°
With the nearest neighbours (Å) after each atom.
Element x y z (fractional)
1 Th 0.4157 0.0565 0.3326  4 V 2.99-3.06
2 Th 0.5843 0.9435 0.6674  4 V 2.99-3.06
3 Dy 0.7177 0.6951 0.9360  2 V 3.22, 4 Dy 3.35-3.40, 2 Th 3.40-3.46
4 Dy 0.2823 0.3049 0.0640  2 V 3.22, 4 Dy 3.35-3.40, 2 Th 3.40-3.46
5 V 0.9443 0.5645 0.3888  1 V 2.52
6 V 0.0557 0.4355 0.6112  1 V 2.52

The following is a GGA-PBE calculation of a relaxed DyThW4 crystal, from the Alexandria database.

Computed properties:
E_form (eV/f.u.): 0.84
Volume (A^3/atom): 20.5
Spin magnetization (μB/f.u.): 0.0
Space group: F-43m, No. 216

Cell: 5.5866 5.5866 5.5866 Å, 60.00 60.00 60.00°
With the nearest neighbours (Å) after each atom.
Element x y z (fractional)
1 W 0.6248 0.6248 0.6248  6 W 2.79-2.80
2 W 0.6248 0.6248 0.1257  6 W 2.79-2.80
3 W 0.1258 0.6248 0.6248  6 W 2.79-2.80
4 W 0.6248 0.1257 0.6248  6 W 2.79-2.80
5 Dy 0.0000 0.0000 0.0000  12 W 3.28, 4 Th 3.42
6 Th 0.2500 0.2500 0.2500  12 W 3.27, 4 Dy 3.42